A plane-wave DFT calculation with GGA-PBEsol was carried out for an optimized crystal structure of Rb2Cd2Mo3O12.

Cell and atoms, written as POSCAR:
```
Rb2Cd2Mo3O12
1.0
11.304 0.000 0.000
0.000 11.304 0.000
0.000 0.000 11.304
Rb Cd Mo O
8 8 12 48
Cartesian
0.703 0.703 0.703
1.902 3.749 7.554
3.749 7.554 1.902
4.949 10.601 6.355
6.355 4.949 10.601
7.554 1.902 3.749
9.401 9.401 9.401
10.601 6.355 4.949
1.183 10.120 4.468
1.871 7.522 9.433
3.781 3.781 3.781
4.468 1.183 10.120
6.835 6.835 6.835
7.522 9.433 1.871
9.433 1.871 7.522
10.120 4.468 1.183
0.256 2.385 4.266
1.386 11.048 8.036
2.385 4.266 0.256
3.267 7.038 5.907
4.266 0.256 2.385
5.396 8.919 9.918
5.907 3.267 7.038
7.038 5.907 3.267
8.036 1.386 11.048
8.919 9.918 5.396
9.918 5.396 8.919
11.048 8.036 1.386
0.109 6.299 8.765
0.240 0.721 3.642
0.524 9.090 2.560
0.647 8.191 11.195
0.721 3.642 0.240
1.037 9.403 8.564
1.901 2.912 4.615
2.010 11.064 6.373
2.214 8.212 5.128
2.539 5.761 10.657
2.560 0.524 9.090
2.740 6.689 7.553
2.912 4.615 1.901
3.092 10.780 3.438
3.113 5.543 5.005
3.438 3.092 10.780
3.642 0.240 0.721
3.751 8.392 10.267
4.615 1.901 2.912
4.930 7.662 5.892
5.005 3.113 5.543
5.128 2.214 8.212
5.412 10.582 9.293
5.543 5.005 3.113
5.761 10.657 2.539
5.892 4.930 7.662
6.176 7.866 8.743
6.299 8.765 0.109
6.373 2.010 11.064
6.689 7.553 2.740
7.553 2.740 6.689
7.662 5.892 4.930
7.866 8.743 6.176
8.191 11.195 0.647
8.212 5.128 2.214
8.392 10.267 3.751
8.564 1.037 9.403
8.743 6.176 7.866
8.765 0.109 6.299
9.090 2.560 0.524
9.293 5.412 10.582
9.403 8.564 1.037
10.267 3.751 8.392
10.582 9.293 5.412
10.657 2.539 5.761
10.780 3.438 3.092
11.064 6.373 2.010
11.195 0.647 8.191
```

Summary:
E_tot: -7.27 eV/atom
Space-group type: P2_13
ΔE_f (raw): -1.86 eV/atom
Volume: 1444.3 Å³/cell
Theoretical density: 4.03 g/cm³